1.
ScCdPb | PBE | relaxed

Its energy of formation is 0.015 eV per atom. As for the total energy: -3.636 eV per atom. For the total magnetization, the calculation gives 0.00 μB/cell.

The structure in CIF format:
```
data_ScCdPb
_symmetry_space_group_name_H-M 'F -4 3 m'
_symmetry_Int_Tables_number 216
_symmetry_space_group_name_Hall 'F -4 2 3'
_cell_length_a 6.903
_cell_length_b 6.903
_cell_length_c 6.903
_cell_angle_alpha 90.00
_cell_angle_beta 90.00
_cell_angle_gamma 90.00
loop_
_atom_site_label
_atom_site_fract_x
_atom_site_fract_y
_atom_site_fract_z
_atom_site_occupancy
Sc1 0.000 0.000 0.000 1
Cd1 0.000 0.000 0.500 1
Pb1 0.250 0.250 0.750 1
```

2.
GdTlIn2 | PBE | relaxed

The calculation puts the energy above the most stable polymorph in this dataset at 0.000 kcal/mol of atoms. Its energy of formation is -0.370 eV per atom. As for the total energy: -5.851 eV per atom. For the total magnetization, the calculation gives 7.13 μB/cell.

The structure in CIF format:
```
data_GdTlIn2
_symmetry_space_group_name_H-M 'P 4/m m m'
_symmetry_Int_Tables_number 123
_symmetry_space_group_name_Hall '-P 4 2'
_cell_length_a 4.681
_cell_length_b 4.681
_cell_length_c 4.741
_cell_angle_alpha 90.00
_cell_angle_beta 90.00
_cell_angle_gamma 90.00
loop_
_atom_site_label
_atom_site_fract_x
_atom_site_fract_y
_atom_site_fract_z
_atom_site_occupancy
Gd1 0.000 0.000 0.000 1
Tl1 0.500 0.500 0.000 1
In1 0.000 0.500 0.500 1
```

3.
ZnAsSeBr2 | PBE | relaxed

The calculation puts the energy above the most stable polymorph in this dataset at 4.769 kcal/mol of atoms. The value obtained for the formation energy from raw total energies is 1.905 eV per formula unit. As for the total energy: -2.170 eV per atom. For the total magnetization, the calculation gives 0.69 μB/cell.

The structure in CIF format:
```
data_ZnAsSeBr2
_symmetry_space_group_name_H-M 'P 4/m m m'
_symmetry_Int_Tables_number 123
_symmetry_space_group_name_Hall '-P 4 2'
_cell_length_a 4.919
_cell_length_b 4.919
_cell_length_c 5.413
_cell_angle_alpha 90.00
_cell_angle_beta 90.00
_cell_angle_gamma 90.00
loop_
_atom_site_label
_atom_site_fract_x
_atom_site_fract_y
_atom_site_fract_z
_atom_site_occupancy
Zn1 0.000 0.000 0.000 1
As1 0.000 0.000 0.500 1
Se1 0.500 0.500 0.500 1
Br1 0.000 0.500 0.000 1
```

4.
BaTcW3 | PBE | relaxed

The calculation puts the energy above the most stable polymorph in this dataset at 0.000 kcal/mol of atoms. Its energy of formation is 1.713 eV per atom. As for the total energy: -8.517 eV per atom. For the total magnetization, the calculation gives 0.67 μB/cell.

The structure in CIF format:
```
data_BaTcW3
_symmetry_space_group_name_H-M 'P m -3 m'
_symmetry_Int_Tables_number 221
_symmetry_space_group_name_Hall '-P 4 2 3'
_cell_length_a 4.899
_cell_length_b 4.899
_cell_length_c 4.899
_cell_angle_alpha 90.00
_cell_angle_beta 90.00
_cell_angle_gamma 90.00
loop_
_atom_site_label
_atom_site_fract_x
_atom_site_fract_y
_atom_site_fract_z
_atom_site_occupancy
Ba1 0.000 0.000 0.000 1
Tc1 0.500 0.500 0.500 1
W1 0.000 0.500 0.500 1
```

5.
KNa2O | PBE | relaxed

The value obtained for the formation energy from raw total energies is -2.909 eV per formula unit. As for the total energy: -2.901 eV per atom. For the total magnetization, the calculation gives 0.00 μB/cell.

The structure in CIF format:
```
data_KNa2O
_symmetry_space_group_name_H-M 'R 3 m'
_symmetry_Int_Tables_number 160
_symmetry_space_group_name_Hall 'R 3 -2"'
_cell_length_a 3.9883
_cell_length_b 3.9883
_cell_length_c 23.2595
_cell_angle_alpha 90.00
_cell_angle_beta 90.00
_cell_angle_gamma 120.00
loop_
_atom_site_label
_atom_site_fract_x
_atom_site_fract_y
_atom_site_fract_z
_atom_site_occupancy
K1 0.0000 0.0000 0.0000 1
Na1 0.0000 0.0000 0.2275 1
Na2 0.0000 0.0000 0.4944 1
O1 0.0000 0.0000 0.8779 1
```

6.
SbHRu2O | PBE | relaxed

As for the total energy: -4.634 eV per atom. For the total magnetization, the calculation gives 3.90 μB/cell.

The structure in CIF format:
```
data_SbHRu2O
_symmetry_space_group_name_H-M 'P 4/m m m'
_symmetry_Int_Tables_number 123
_symmetry_space_group_name_Hall '-P 4 2'
_cell_length_a 5.026
_cell_length_b 5.026
_cell_length_c 4.094
_cell_angle_alpha 90.00
_cell_angle_beta 90.00
_cell_angle_gamma 90.00
loop_
_atom_site_label
_atom_site_fract_x
_atom_site_fract_y
_atom_site_fract_z
_atom_site_occupancy
Sb1 0.000 0.000 0.000 1
H1 0.500 0.500 0.500 1
Ru1 0.000 0.500 0.000 1
O1 0.000 0.000 0.500 1
```

What did the second record say?
GdTlIn2 | PBE | relaxed

The calculation puts the energy above the most stable polymorph in this dataset at 0.000 kcal/mol of atoms. Its energy of formation is -0.370 eV per atom. As for the total energy: -5.851 eV per atom. For the total magnetization, the calculation gives 7.13 μB/cell.

The structure in CIF format:
```
data_GdTlIn2
_symmetry_space_group_name_H-M 'P 4/m m m'
_symmetry_Int_Tables_number 123
_symmetry_space_group_name_Hall '-P 4 2'
_cell_length_a 4.681
_cell_length_b 4.681
_cell_length_c 4.741
_cell_angle_alpha 90.00
_cell_angle_beta 90.00
_cell_angle_gamma 90.00
loop_
_atom_site_label
_atom_site_fract_x
_atom_site_fract_y
_atom_site_fract_z
_atom_site_occupancy
Gd1 0.000 0.000 0.000 1
Tl1 0.500 0.500 0.000 1
In1 0.000 0.500 0.500 1
```

What is the formula in the sixth record? SbHRu2O

Copy entry 3 word for word.
ZnAsSeBr2 | PBE | relaxed

The calculation puts the energy above the most stable polymorph in this dataset at 4.769 kcal/mol of atoms. The value obtained for the formation energy from raw total energies is 1.905 eV per formula unit. As for the total energy: -2.170 eV per atom. For the total magnetization, the calculation gives 0.69 μB/cell.

The structure in CIF format:
```
data_ZnAsSeBr2
_symmetry_space_group_name_H-M 'P 4/m m m'
_symmetry_Int_Tables_number 123
_symmetry_space_group_name_Hall '-P 4 2'
_cell_length_a 4.919
_cell_length_b 4.919
_cell_length_c 5.413
_cell_angle_alpha 90.00
_cell_angle_beta 90.00
_cell_angle_gamma 90.00
loop_
_atom_site_label
_atom_site_fract_x
_atom_site_fract_y
_atom_site_fract_z
_atom_site_occupancy
Zn1 0.000 0.000 0.000 1
As1 0.000 0.000 0.500 1
Se1 0.500 0.500 0.500 1
Br1 0.000 0.500 0.000 1
```